1.
First-principles (PBE) data for a relaxed Er5Te4Au crystal, as listed in Alexandria via LeMat-Bulk.

Its volume is 28.3 A^3/atom. The value obtained for the density of states at the Fermi level is 4.141 states/eV/f.u. The value obtained for the energy is -5.041 eV per atom. Its theoretical density is 9.06 g cm⁻³.

abc: 9.6419 9.6419 6.0897
angles: 90.00 90.00 90.00
Space group I4/m (No. 87)
Inequivalent atoms, fractional coordinates:
Er1 0.0000 0.0000 0.0000 (multiplicity 2)
Er2 0.0975 0.2753 0.5000 (multiplicity 8)
Te1 0.0889 0.3082 0.0000 (multiplicity 8)
Au1 0.0000 0.0000 0.5000 (multiplicity 2)


2.
First-principles (PBE) data for a relaxed SrAg2AuF8 crystal, as listed in Alexandria via LeMat-Bulk.

Its volume is 14.7 A^3/atom. The value obtained for the density of states at the Fermi level is 6.689 states/eV/f.u. The value obtained for the energy is -3.788 eV per atom. Its theoretical density is 6.15 g cm⁻³.

abc: 5.6097 5.6097 11.1898
angles: 90.00 90.00 90.00
Space group I-4m2 (No. 119)
Inequivalent atoms, fractional coordinates:
Sr1 0.0000 0.0000 0.0000 (multiplicity 2)
Ag1 0.0000 0.0000 0.5000 (multiplicity 2)
Ag2 0.0000 0.5000 0.2500 (multiplicity 2)
Au1 0.0000 0.5000 0.7500 (multiplicity 2)
F1 0.2357 0.2540 0.6310 (multiplicity 16)


3.
First-principles (PBE) data for a relaxed Cs2Rb5HgAu2 crystal, as listed in Alexandria via LeMat-Bulk.

Its volume is 55.6 A^3/atom. The value obtained for the density of states at the Fermi level is 7.047 states/eV/f.u. The value obtained for the energy is -1.482 eV per atom. Its theoretical density is 3.84 g cm⁻³.

abc: 14.6638 14.6638 5.1727
angles: 90.00 90.00 90.00
Space group P4/mbm (No. 127)
Inequivalent atoms, fractional coordinates:
Cs1 0.1723 0.3277 0.0000 (multiplicity 4)
Rb1 0.0000 0.5000 0.5000 (multiplicity 2)
Rb2 0.0691 0.7929 0.5000 (multiplicity 8)
Hg1 0.0000 0.0000 0.0000 (multiplicity 2)
Au1 0.1222 0.6222 0.0000 (multiplicity 4)


4.
First-principles (PBE) data for a relaxed Cs3RbTl2F9 crystal, as listed in Alexandria via LeMat-Bulk.

Its volume is 22.7 A^3/atom. The value obtained for the density of states at the Fermi level is 2.779 states/eV/f.u. The value obtained for the energy is -4.020 eV per atom. Its theoretical density is 5.20 g cm⁻³.

abc: 6.8323 6.8323 8.4065
angles: 90.00 90.00 120.00
Space group P-3m1 (No. 164)
Inequivalent atoms, fractional coordinates:
Cs1 0.0000 0.0000 0.0000 (multiplicity 1)
Cs2 0.3333 0.6667 0.6545 (multiplicity 2)
Rb1 0.0000 0.0000 0.5000 (multiplicity 1)
Tl1 0.3333 0.6667 0.1523 (multiplicity 2)
F1 0.0000 0.5000 0.0000 (multiplicity 3)
F2 0.1804 0.3608 0.3084 (multiplicity 6)


5.
First-principles (PBE) data for a relaxed H4SI2 crystal, as listed in Alexandria via LeMat-Bulk.

Its volume is 32.5 A^3/atom. The value obtained for the density of states at the Fermi level is 0.000 states/eV/f.u. Its excess energy over the best structure of this formula in the dataset is 0.000 eV per atom. Its theoretical density is 2.12 g cm⁻³.

abc: 6.8923 6.6055 10.0346
angles: 90.00 95.16 90.00
Space group P2_1/m (No. 11)
Inequivalent atoms, fractional coordinates:
H1 0.0937 0.1008 0.1982 (multiplicity 4)
H2 0.1334 0.2500 0.4525 (multiplicity 2)
H3 0.1836 0.7500 0.9517 (multiplicity 2)
S1 0.0221 0.7500 0.7590 (multiplicity 2)
I1 0.2504 0.2500 0.6051 (multiplicity 2)
I2 0.2952 0.7500 0.1093 (multiplicity 2)


6.
First-principles (PBE) data for a relaxed NaGe3Pt crystal, as listed in Alexandria via LeMat-Bulk.

Its volume is 24.9 A^3/atom. The value obtained for the density of states at the Fermi level is 4.608 states/eV/f.u. Its excess energy over the best structure of this formula in the dataset is 0.521 eV per atom. Its theoretical density is 5.82 g cm⁻³.

abc: 4.9906 4.9906 4.9906
angles: 90.00 90.00 90.00
Space group Pm-3m (No. 221)
Inequivalent atoms, fractional coordinates:
Na1 0.0000 0.0000 0.0000 (multiplicity 1)
Ge1 0.0000 0.5000 0.5000 (multiplicity 3)
Pt1 0.5000 0.5000 0.5000 (multiplicity 1)


7.
First-principles (PBE) data for a relaxed MnIn2 crystal, as listed in Alexandria via LeMat-Bulk.

Its volume is 20.9 A^3/atom. The value obtained for the density of states at the Fermi level is 2.082 states/eV/f.u. The value obtained for the energy is -4.658 eV per atom. Its theoretical density is 7.55 g cm⁻³.

abc: 5.7693 4.4493 9.7593
angles: 90.00 90.00 90.00
Space group Pnma (No. 62)
Inequivalent atoms, fractional coordinates:
Mn1 0.2475 0.2500 0.1761 (multiplicity 4)
In1 0.0509 0.2500 0.8154 (multiplicity 4)
In2 0.1779 0.2500 0.4634 (multiplicity 4)


8.
First-principles (PBE) data for a relaxed Ca2YCd crystal, as listed in Alexandria via LeMat-Bulk.

Its volume is 34.0 A^3/atom. The value obtained for the density of states at the Fermi level is 4.980 states/eV/f.u. The value obtained for the energy is -2.860 eV per atom. Its theoretical density is 3.43 g cm⁻³.

abc: 3.7764 3.7764 33.0530
angles: 90.00 90.00 120.00
Space group R-3m (No. 166, hexagonal axes)
Inequivalent atoms, fractional coordinates:
Ca1 0.0000 0.0000 0.2410 (multiplicity 6)
Y1 0.0000 0.0000 0.0000 (multiplicity 3)
Cd1 0.0000 0.0000 0.5000 (multiplicity 3)


9.
First-principles (PBE) data for a relaxed SnMoI2N crystal, as listed in Alexandria via LeMat-Bulk.

Its volume is 25.3 A^3/atom. The value obtained for the density of states at the Fermi level is 3.175 states/eV/f.u. Its excess energy over the best structure of this formula in the dataset is 0.000 eV per atom. Its theoretical density is 6.32 g cm⁻³.

abc: 5.7288 5.7288 3.8610
angles: 90.00 90.00 90.00
Space group P4/mmm (No. 123)
Inequivalent atoms, fractional coordinates:
Sn1 0.0000 0.0000 0.0000 (multiplicity 1)
Mo1 0.5000 0.5000 0.5000 (multiplicity 1)
I1 0.0000 0.5000 0.5000 (multiplicity 2)
N1 0.5000 0.5000 0.0000 (multiplicity 1)


10.
First-principles (PBE) data for a relaxed KY2Cr crystal, as listed in Alexandria via LeMat-Bulk.

Its volume is 43.2 A^3/atom. The value obtained for the density of states at the Fermi level is 6.233 states/eV/f.u. Its excess energy over the best structure of this formula in the dataset is 0.681 eV per atom. Its theoretical density is 2.58 g cm⁻³.

abc: 7.8823 7.8823 11.1280
angles: 90.00 90.00 90.00
Space group I-42d (No. 122)
Inequivalent atoms, fractional coordinates:
K1 0.0000 0.0000 0.0000 (multiplicity 4)
Y1 0.0008 0.2500 0.6250 (multiplicity 8)
Cr1 0.0000 0.0000 0.5000 (multiplicity 4)


11.
First-principles (PBE) data for a relaxed Ce5PmTh4 crystal, as listed in Alexandria via LeMat-Bulk.

Its volume is 29.9 A^3/atom. The value obtained for the density of states at the Fermi level is 19.953 states/eV/f.u. The value obtained for the energy is -6.382 eV per atom. Its theoretical density is 9.86 g cm⁻³.

abc: 3.4884 3.4884 24.5476
angles: 90.00 90.00 90.00
Space group P4/mmm (No. 123)
Inequivalent atoms, fractional coordinates:
Ce1 0.0000 0.0000 0.0000 (multiplicity 1)
Ce2 0.0000 0.0000 0.1974 (multiplicity 2)
Ce3 0.0000 0.0000 0.3935 (multiplicity 2)
Pm1 0.5000 0.5000 0.5000 (multiplicity 1)
Th1 0.5000 0.5000 0.0986 (multiplicity 2)
Th2 0.5000 0.5000 0.2960 (multiplicity 2)


12.
First-principles (PBE) data for a relaxed LaMnRe crystal, as listed in Alexandria via LeMat-Bulk.

Its volume is 19.2 A^3/atom. The value obtained for the density of states at the Fermi level is 3.631 states/eV/f.u. Its excess energy over the best structure of this formula in the dataset is 0.425 eV per atom. Its theoretical density is 10.96 g cm⁻³.

abc: 2.9832 2.9832 7.4720
angles: 90.00 90.00 120.00
Space group P3m1 (No. 156)
Inequivalent atoms, fractional coordinates:
La1 0.0000 0.0000 0.0000 (multiplicity 1)
Mn1 0.3333 0.6667 0.3850 (multiplicity 1)
Re1 0.6667 0.3333 0.6251 (multiplicity 1)


Q: Look up the theoretical density of the eighth one.
A: 3.43 g cm⁻³